The following is a PBE+U calculation of a relaxed NaVH2I2O9 crystal, from Alexandria via LeMat-Bulk.

Its density of states at the Fermi level is 0.0 states/eV/cell. The calculation puts the density at 3.77 g/cm³. For the raw total energy, the calculation gives -5.207 eV per atom.

CIF file:
```
data_NaVH2I2O9
_symmetry_space_group_name_H-M 'P 1 21 1'
_symmetry_Int_Tables_number 4
_cell_length_a 9.116
_cell_length_b 5.297
_cell_length_c 9.215
_cell_angle_alpha 90.00
_cell_angle_beta 110.16
_cell_angle_gamma 90.00
loop_
_symmetry_equiv_pos_as_xyz
'x,y,z'
'-x,y+1/2,-z'
loop_
_atom_site_label
_atom_site_fract_x
_atom_site_fract_y
_atom_site_fract_z
_atom_site_occupancy
Na1 0.042 0.000 0.319 1
V1 0.271 0.461 0.616 1
H1 0.032 0.472 0.161 1
H2 0.122 0.296 0.082 1
I1 0.323 0.063 0.936 1
I2 0.378 0.645 0.315 1
O1 0.112 0.295 0.529 1
O2 0.120 0.348 0.184 1
O3 0.124 0.186 0.885 1
O4 0.223 0.672 0.727 1
O5 0.259 0.702 0.443 1
O6 0.262 0.852 0.163 1
O7 0.384 0.211 0.775 1
O8 0.426 0.298 0.079 1
O9 0.472 0.385 0.571 1
```

=====

The following is a PBE+U calculation of a relaxed Na3VH11IO13 crystal, from Alexandria via LeMat-Bulk.

Its density of states at the Fermi level is 0.0 states/eV/cell. The calculation puts the density at 2.58 g/cm³. For the raw total energy, the calculation gives -5.130 eV per atom.

CIF file:
```
data_Na3VH11IO13
_symmetry_space_group_name_H-M 'P -1'
_symmetry_Int_Tables_number 2
_cell_length_a 6.296
_cell_length_b 8.945
_cell_length_c 11.423
_cell_angle_alpha 70.42
_cell_angle_beta 84.62
_cell_angle_gamma 81.52
loop_
_symmetry_equiv_pos_as_xyz
'x,y,z'
'-x,-y,-z'
loop_
_atom_site_label
_atom_site_fract_x
_atom_site_fract_y
_atom_site_fract_z
_atom_site_occupancy
Na1 0.089 0.242 0.426 1
Na2 0.092 0.470 0.852 1
Na3 0.176 0.068 0.156 1
V1 0.440 0.824 0.460 1
H1 0.070 0.815 0.066 1
H2 0.100 0.420 0.616 1
H3 0.143 0.587 0.365 1
H4 0.163 0.126 0.898 1
H5 0.215 0.138 0.702 1
H6 0.310 0.591 0.984 1
H7 0.349 0.411 0.075 1
H8 0.385 0.832 0.006 1
H9 0.401 0.742 0.150 1
H10 0.416 0.370 0.684 1
H11 0.487 0.520 0.709 1
I1 0.346 0.862 0.719 1
O1 0.031 0.532 0.348 1
O2 0.084 0.189 0.948 1
O3 0.104 0.760 0.750 1
O4 0.175 0.037 0.769 1
O5 0.237 0.497 0.033 1
O6 0.237 0.734 0.445 1
O7 0.285 0.981 0.548 1
O8 0.326 0.839 0.088 1
O9 0.329 0.277 0.588 1
O10 0.413 0.009 0.315 1
O11 0.445 0.411 0.751 1
O12 0.456 0.759 0.875 1
O13 0.482 0.277 0.361 1
```

=====

Please write out number 2 again, unchanged.
The following is a PBE+U calculation of a relaxed Na3VH11IO13 crystal, from Alexandria via LeMat-Bulk.

Its density of states at the Fermi level is 0.0 states/eV/cell. The calculation puts the density at 2.58 g/cm³. For the raw total energy, the calculation gives -5.130 eV per atom.

CIF file:
```
data_Na3VH11IO13
_symmetry_space_group_name_H-M 'P -1'
_symmetry_Int_Tables_number 2
_cell_length_a 6.296
_cell_length_b 8.945
_cell_length_c 11.423
_cell_angle_alpha 70.42
_cell_angle_beta 84.62
_cell_angle_gamma 81.52
loop_
_symmetry_equiv_pos_as_xyz
'x,y,z'
'-x,-y,-z'
loop_
_atom_site_label
_atom_site_fract_x
_atom_site_fract_y
_atom_site_fract_z
_atom_site_occupancy
Na1 0.089 0.242 0.426 1
Na2 0.092 0.470 0.852 1
Na3 0.176 0.068 0.156 1
V1 0.440 0.824 0.460 1
H1 0.070 0.815 0.066 1
H2 0.100 0.420 0.616 1
H3 0.143 0.587 0.365 1
H4 0.163 0.126 0.898 1
H5 0.215 0.138 0.702 1
H6 0.310 0.591 0.984 1
H7 0.349 0.411 0.075 1
H8 0.385 0.832 0.006 1
H9 0.401 0.742 0.150 1
H10 0.416 0.370 0.684 1
H11 0.487 0.520 0.709 1
I1 0.346 0.862 0.719 1
O1 0.031 0.532 0.348 1
O2 0.084 0.189 0.948 1
O3 0.104 0.760 0.750 1
O4 0.175 0.037 0.769 1
O5 0.237 0.497 0.033 1
O6 0.237 0.734 0.445 1
O7 0.285 0.981 0.548 1
O8 0.326 0.839 0.088 1
O9 0.329 0.277 0.588 1
O10 0.413 0.009 0.315 1
O11 0.445 0.411 0.751 1
O12 0.456 0.759 0.875 1
O13 0.482 0.277 0.361 1
```

=====

> Among the records above, which one has the lowest raw total energy?

NaVH2I2O9